(1)
# Pr6TlSb2Se3

An optimized crystal structure of Pr6TlSb2Se3 (PBE, the Alexandria database).

crystal system: monoclinic
calculated total energy: -66.174 eV per cell
ΔE_f (raw): -1369 meV/atom
space group: C2/m
V: 30.59 Å³ per atom

Cell: 4.388 8.909 9.888 Å, 102.85 102.82 90.00°
Fractional coordinates of all 12 atoms:
Pr (0.331, 0.922, 0.662)
Pr (0.665, 0.588, 0.331)
Pr (0.669, 0.078, 0.338)
Pr (0.997, 0.260, 0.994)
Pr (0.003, 0.740, 0.006)
Pr (0.335, 0.412, 0.669)
Tl (0.500, 0.000, 0.000)
Sb (0.834, 0.667, 0.668)
Sb (0.166, 0.333, 0.332)
Se (0.500, 0.500, 0.000)
Se (0.832, 0.167, 0.664)
Se (0.168, 0.833, 0.336)


(2)
# Pr2Tl3SbSe6

An optimized crystal structure of Pr2Tl3SbSe6 (PBE, the Alexandria database).

crystal system: monoclinic
calculated total energy: -54.050 eV per cell
ΔE_f (raw): -1030 meV/atom
space group: C2/m
V: 31.11 Å³ per atom

Cell: 7.484 7.484 8.093 Å, 98.87 98.87 120.01°
Fractional coordinates of all 12 atoms:
Pr (0.334, 0.666, 0.000)
Pr (0.666, 0.334, 0.000)
Tl (0.170, 0.830, 0.500)
Tl (0.830, 0.170, 0.500)
Tl (0.500, 0.500, 0.500)
Sb (0.000, 0.000, 0.000)
Se (0.930, 0.606, 0.791)
Se (0.747, 0.747, 0.213)
Se (0.070, 0.394, 0.209)
Se (0.606, 0.930, 0.791)
Se (0.253, 0.253, 0.787)
Se (0.394, 0.070, 0.209)


(3)
# Pr3Tl4SbSe8

An optimized crystal structure of Pr3Tl4SbSe8 (PBE, the Alexandria database).

crystal system: trigonal
calculated total energy: -73.658 eV per cell
ΔE_f (raw): -1116 meV/atom
space group: R-3m
V: 31.35 Å³ per atom

Cell: 8.660 9.200 8.661 Å, 118.08 120.00 90.00°
Fractional coordinates of all 16 atoms:
Pr (0.500, 0.500, 0.000)
Pr (0.500, 0.500, 0.500)
Pr (0.000, 0.500, 0.500)
Tl (0.500, 0.000, 0.000)
Tl (0.500, 0.000, 0.500)
Tl (0.000, 0.000, 0.000)
Tl (0.000, 0.000, 0.500)
Sb (0.000, 0.500, 0.000)
Se (0.233, 0.710, 0.978)
Se (0.233, 0.710, 0.467)
Se (0.262, 0.287, 0.524)
Se (0.744, 0.710, 0.978)
Se (0.256, 0.290, 0.022)
Se (0.738, 0.713, 0.476)
Se (0.767, 0.290, 0.533)
Se (0.767, 0.290, 0.022)


(4)
# PrTmSbSe

An optimized crystal structure of PrTmSbSe (PBE, the Alexandria database).

crystal system: trigonal
calculated total energy: -22.345 eV per cell
ΔE_f (raw): -1372 meV/atom
space group: R3m
V: 28.67 Å³ per atom

Cell: 4.200 4.200 7.889 Å, 90.00 105.44 120.00°
Fractional coordinates of all 4 atoms:
Pr (0.968, 0.382, 0.366)
Tm (0.303, 0.549, 0.867)
Sb (0.124, 0.960, 0.099)
Se (0.483, 0.139, 0.638)


(5)
# PrYSbSe

An optimized crystal structure of PrYSbSe (PBE, the Alexandria database).

crystal system: tetragonal
calculated total energy: -24.637 eV per cell
ΔE_f (raw): -1447 meV/atom
space group: P4/mmm
V: 29.12 Å³ per atom

Cell: 4.374 4.373 6.091 Å, 89.98 90.00 90.00°
Fractional coordinates of all 4 atoms:
Pr (0.000, 0.891, 0.092)
Y (0.500, 0.392, 0.593)
Sb (0.500, 0.391, 0.093)
Se (0.000, 0.892, 0.592)


(6)
# Pr6Si2Sb

An optimized crystal structure of Pr6Si2Sb (PBE, the Alexandria database).

crystal system: orthorhombic
calculated total energy: -98.098 eV per cell
ΔE_f (raw): -600 meV/atom
space group: Immm
V: 29.51 Å³ per atom

Cell: 8.853 8.853 8.853 Å, 104.69 110.83 113.00°
Fractional coordinates of all 18 atoms:
Pr (0.533, 0.723, 0.809)
Pr (0.467, 0.277, 0.191)
Pr (0.086, 0.277, 0.809)
Pr (0.914, 0.723, 0.191)
Pr (0.792, 0.758, 0.550)
Pr (0.208, 0.242, 0.450)
Pr (0.208, 0.758, 0.966)
Pr (0.792, 0.242, 0.034)
Pr (0.707, 0.387, 0.680)
Pr (0.293, 0.613, 0.320)
Pr (0.293, 0.973, 0.680)
Pr (0.707, 0.027, 0.320)
Si (0.500, 0.389, 0.889)
Si (0.500, 0.611, 0.111)
Si (0.622, 0.000, 0.622)
Si (0.378, 0.000, 0.378)
Sb (0.000, 0.500, 0.500)
Sb (0.000, 0.000, 0.000)


(7)
# PrSiSb

An optimized crystal structure of PrSiSb (PBE, the Alexandria database).

crystal system: monoclinic
calculated total energy: -32.036 eV per cell
ΔE_f (raw): -564 meV/atom
space group: C2/m
V: 25.50 Å³ per atom

Cell: 3.936 5.241 7.816 Å, 79.07 104.58 90.00°
Fractional coordinates of all 6 atoms:
Si (0.738, 0.140, 0.477)
Si (0.262, 0.860, 0.523)
Pr (0.622, 0.699, 0.244)
Pr (0.378, 0.301, 0.756)
Sb (0.927, 0.766, 0.853)
Sb (0.073, 0.234, 0.147)


(8)
# Pr5Si2Sb2

An optimized crystal structure of Pr5Si2Sb2 (PBE, the Alexandria database).

crystal system: orthorhombic
calculated total energy: -101.952 eV per cell
ΔE_f (raw): -888 meV/atom
space group: Cmce
V: 29.28 Å³ per atom

Cell: 8.158 8.203 8.869 Å, 90.00 62.62 90.00°
Fractional coordinates of all 18 atoms:
Pr (0.000, 0.000, 0.000)
Pr (0.500, 0.500, 0.000)
Pr (0.455, 0.174, 0.741)
Pr (0.805, 0.826, 0.741)
Pr (0.305, 0.674, 0.741)
Pr (0.955, 0.326, 0.741)
Pr (0.545, 0.826, 0.259)
Pr (0.195, 0.174, 0.259)
Pr (0.695, 0.326, 0.259)
Pr (0.045, 0.674, 0.259)
Si (0.114, 0.386, 0.000)
Si (0.886, 0.614, 0.000)
Si (0.386, 0.886, 0.000)
Si (0.614, 0.114, 0.000)
Sb (0.207, 0.000, 0.586)
Sb (0.707, 0.500, 0.586)
Sb (0.793, 0.000, 0.414)
Sb (0.293, 0.500, 0.414)


(9)
# Pr8SiSb2

An optimized crystal structure of Pr8SiSb2 (PBE, the Alexandria database).

crystal system: monoclinic
calculated total energy: -57.303 eV per cell
ΔE_f (raw): -491 meV/atom
space group: C2/m
V: 32.66 Å³ per atom

Cell: 4.784 7.868 9.882 Å, 95.27 104.01 90.00°
Fractional coordinates of all 11 atoms:
Pr (0.403, 0.485, 0.806)
Pr (0.657, 0.036, 0.314)
Pr (0.783, 0.642, 0.567)
Pr (0.996, 0.228, 0.992)
Pr (0.217, 0.358, 0.433)
Pr (0.343, 0.964, 0.686)
Pr (0.597, 0.515, 0.194)
Pr (0.004, 0.772, 0.008)
Si (0.500, 0.000, 0.000)
Sb (0.822, 0.230, 0.645)
Sb (0.178, 0.770, 0.355)


(10)
# Pr3SiSb

An optimized crystal structure of Pr3SiSb (PBE, the Alexandria database).

crystal system: monoclinic
calculated total energy: -108.255 eV per cell
ΔE_f (raw): -636 meV/atom
space group: P2_1/c
V: 30.61 Å³ per atom

Cell: 6.291 8.895 11.197 Å, 102.29 90.00 90.00°
Fractional coordinates of all 20 atoms:
Pr (0.996, 0.746, 0.998)
Pr (0.004, 0.254, 0.002)
Pr (0.496, 0.754, 0.002)
Pr (0.504, 0.246, 0.998)
Pr (0.759, 0.415, 0.727)
Pr (0.241, 0.585, 0.273)
Pr (0.259, 0.085, 0.273)
Pr (0.741, 0.915, 0.727)
Pr (0.177, 0.161, 0.624)
Pr (0.823, 0.839, 0.376)
Pr (0.677, 0.339, 0.376)
Pr (0.323, 0.661, 0.624)
Si (0.871, 0.608, 0.545)
Si (0.129, 0.392, 0.455)
Si (0.371, 0.892, 0.455)
Si (0.629, 0.108, 0.545)
Sb (0.263, 0.459, 0.834)
Sb (0.737, 0.541, 0.166)
Sb (0.763, 0.041, 0.166)
Sb (0.237, 0.959, 0.834)


(11)
# Pr6Si2SbTe3

An optimized crystal structure of Pr6Si2SbTe3 (PBE, the Alexandria database).

crystal system: monoclinic
calculated total energy: -67.571 eV per cell
ΔE_f (raw): -1208 meV/atom
space group: C2/m
V: 31.81 Å³ per atom

Cell: 4.445 9.039 10.041 Å, 103.66 102.79 90.00°
Fractional coordinates of all 12 atoms:
Pr (0.332, 0.893, 0.665)
Pr (0.673, 0.569, 0.346)
Pr (0.668, 0.107, 0.335)
Pr (0.010, 0.251, 0.020)
Pr (0.990, 0.749, 0.980)
Pr (0.327, 0.431, 0.654)
Si (0.832, 0.665, 0.664)
Si (0.168, 0.335, 0.336)
Sb (0.500, 0.000, 0.000)
Te (0.500, 0.500, 0.000)
Te (0.836, 0.166, 0.673)
Te (0.164, 0.834, 0.327)


(12)
# PrSm2Sb

An optimized crystal structure of PrSm2Sb (PBE, the Alexandria database).

crystal system: trigonal
calculated total energy: -19.794 eV per cell
ΔE_f (raw): -364 meV/atom
space group: R-3m
V: 35.20 Å³ per atom
relative energy among the computed polymorphs: 0.88 eV/f.u.

Cell: 4.061 4.061 10.134 Å, 78.44 78.44 60.00°
Fractional coordinates of all 4 atoms:
Pr (0.500, 0.500, 0.500)
Sb (0.000, 0.000, 0.000)
Sm (0.267, 0.267, 0.200)
Sm (0.733, 0.733, 0.800)